(1)
DFT (PBE) results for a relaxed structure of Nb3GaPt.

The structure belongs to space group Pm-3m (No. 221); the cell edges are 4.898, 4.898 and 4.898 Å and the angles 90.00°, 90.00° and 90.00°. The asymmetric unit holds Nb at (0.000, 0.000, 0.500), Ga at (0.500, 0.500, 0.500) and Pt at (0.000, 0.000, 0.000).

The electronic total energy is -6.877 eV per atom. As for the density of states at the Fermi level: 3.77 states/eV per cell. The energy relative to the lowest polymorph listed for this composition is 3 meV per atom.

(2)
DFT (PBE) results for a relaxed structure of CaNd2Pd9.

The structure belongs to space group P4/mmm (No. 123); the cell edges are 4.193, 4.193 and 12.463 Å and the angles 90.00°, 90.00° and 90.00°. The asymmetric unit holds Ca at (0.000, 0.000, 0.000), Nd at (0.000, 0.000, 0.330), Pd at (0.000, 0.500, 0.165), Pd at (0.000, 0.500, 0.500), Pd at (0.500, 0.500, 0.000) and Pd at (0.500, 0.500, 0.333).

The electronic total energy is -5.531 eV per atom. As for the density of states at the Fermi level: 7.46 states/eV per cell.